Run A
A plane-wave DFT calculation with PBE was carried out for a geometry-optimized K3PrI6 structure.

abc: 10.144 10.144 10.144
angles: 91.47 91.47 91.47
Fractional positions:
K: 0.077 0.749 0.584
K: 0.251 0.416 0.923
K: 0.416 0.923 0.251
K: 0.584 0.077 0.749
K: 0.749 0.584 0.077
K: 0.923 0.251 0.416
Pr: 0.000 0.000 0.000
Pr: 0.500 0.500 0.500
I: 0.048 0.701 0.928
I: 0.072 0.952 0.299
I: 0.206 0.420 0.566
I: 0.299 0.072 0.952
I: 0.420 0.566 0.206
I: 0.434 0.794 0.580
I: 0.566 0.206 0.420
I: 0.580 0.434 0.794
I: 0.701 0.928 0.048
I: 0.794 0.580 0.434
I: 0.928 0.048 0.701
I: 0.952 0.299 0.072

Computed properties:
Space group: R-3 (148)
Spin magnetization, μB per formula unit: 0.000
N(E_F), states/eV/cell: 0.0

---

Run B
A plane-wave DFT calculation with PBE was carried out for a geometry-optimized K3PrI6 structure.

abc: 9.148 9.148 9.148
angles: 60.00 60.00 60.00
Fractional positions:
K: 0.000 0.000 0.000
K: 0.250 0.250 0.250
K: 0.750 0.750 0.750
Pr: 0.500 0.500 0.500
I: 0.259 0.259 0.741
I: 0.259 0.741 0.259
I: 0.259 0.741 0.741
I: 0.741 0.259 0.259
I: 0.741 0.259 0.741
I: 0.741 0.741 0.259

Computed properties:
Space group: Fm-3m (225)
Spin magnetization, μB per formula unit: 0.000
N(E_F), states/eV/cell: 0.0

---

Stability, highest: run A

---

Run A
A plane-wave DFT calculation with PBE was carried out for a geometry-optimized KPtI structure.

abc: 12.287 3.969 8.298
angles: 90.00 97.91 90.00
Fractional positions:
K: 0.000 0.000 0.000
K: 0.150 0.500 0.417
K: 0.500 0.500 0.000
K: 0.650 0.000 0.417
Pt: 0.241 0.500 0.018
Pt: 0.312 0.000 0.214
Pt: 0.741 0.000 0.018
Pt: 0.812 0.500 0.214
I: 0.220 0.000 0.791
I: 0.417 0.500 0.404
I: 0.720 0.500 0.791
I: 0.917 0.000 0.404

Computed properties:
Space group: Cm (8)
Spin magnetization, μB per formula unit: 0.000
N(E_F), states/eV/cell: 0.0

---

Run B
A plane-wave DFT calculation with PBE was carried out for a geometry-optimized KPtI structure.

abc: 5.527 3.980 9.154
angles: 90.00 91.01 90.00
Fractional positions:
K: 0.000 0.000 0.000
K: 0.001 0.000 0.524
Pt: 0.497 0.000 0.831
Pt: 0.499 0.500 0.025
I: 0.502 0.500 0.632
I: 0.506 0.000 0.230

Computed properties:
Space group: Pm (6)
Spin magnetization, μB per formula unit: 0.000
N(E_F), states/eV/cell: 0.0

---

Stability, highest: run A

---

Run A
A plane-wave DFT calculation with PBE was carried out for a geometry-optimized KPtI4 structure.

abc: 7.317 4.292 8.779
angles: 90.00 114.44 90.00
Fractional positions:
K: 0.000 0.000 0.000
Pt: 0.500 0.500 0.500
I: 0.230 0.000 0.460
I: 0.416 0.500 0.171
I: 0.584 0.500 0.829
I: 0.770 0.000 0.540

Computed properties:
Space group: P2/m (10)
Spin magnetization, μB per formula unit: 0.000
N(E_F), states/eV/cell: 2.6

---

Run B
A plane-wave DFT calculation with PBE was carried out for a geometry-optimized KPtI4 structure.

abc: 9.241 9.241 7.911
angles: 101.26 101.26 45.77
Fractional positions:
K: 0.187 0.813 0.750
K: 0.813 0.187 0.250
Pt: 0.000 0.500 0.000
Pt: 0.500 0.000 0.500
I: 0.151 0.275 0.284
I: 0.241 0.573 0.090
I: 0.275 0.151 0.784
I: 0.427 0.759 0.410
I: 0.573 0.241 0.590
I: 0.725 0.849 0.216
I: 0.759 0.427 0.910
I: 0.849 0.725 0.716

Computed properties:
Space group: C2/c (15)
Spin magnetization, μB per formula unit: 0.000
N(E_F), states/eV/cell: 4.0

---

Stability, highest: run B